1.
Here is a geometry-optimized LaHg2Au structure from Alexandria via LeMat-Bulk. Energies are from PBE-GGA.

The structure in CIF format:
```
data_LaHg2Au
_cell_length_a 4.494
_cell_length_b 4.494
_cell_length_c 5.132
_cell_angle_alpha 90.00
_cell_angle_beta 90.00
_cell_angle_gamma 90.00
_space_group_name_H-M_alt 'P 4/m m m'
_space_group_IT_number 123
_space_group_name_Hall '-P 4 2'
loop_
_atom_site_label
_atom_site_type_symbol
_atom_site_fract_x
_atom_site_fract_y
_atom_site_fract_z
La1 La 0.000 0.000 0.000
Hg1 Hg 0.000 0.500 0.500
Au1 Au 0.500 0.500 0.000
```

Values from the calculation:
Energy relative to the elements: -0.442 eV per atom
Volume: 25.9 A^3/atom
Spin magnetization: 0.00 μB per formula unit
Raw total energy: -2.64 eV per atom
N(E_F): 0.785 states/eV per atom

---

2.
Here is a geometry-optimized VAg5S4Cl2 structure from Alexandria via LeMat-Bulk. Energies are from PBE-GGA.

The structure in CIF format:
```
data_VAg5S4Cl2
_cell_length_a 7.421
_cell_length_b 11.412
_cell_length_c 6.294
_cell_angle_alpha 90.00
_cell_angle_beta 90.00
_cell_angle_gamma 90.00
_space_group_name_H-M_alt 'A m m 2'
_space_group_IT_number 38
_space_group_name_Hall 'A 2 -2'
loop_
_atom_site_label
_atom_site_type_symbol
_atom_site_fract_x
_atom_site_fract_y
_atom_site_fract_z
V1 V 0.000 0.000 0.000
Ag1 Ag 0.209 0.179 0.434
Ag2 Ag 0.500 0.000 0.943
S1 S 0.000 0.155 0.794
S2 S 0.240 0.000 0.201
Cl1 Cl 0.500 0.176 0.673
```

Values from the calculation:
Volume: 22.2 A^3/atom
Spin magnetization: 0.00 μB per formula unit
Formation energy without anion corrections: -445 kJ/mol of formula units
Raw total energy: -4.02 eV per atom

---

3.
Here is a geometry-optimized Er5Mg4Cu structure from Alexandria via LeMat-Bulk. Energies are from PBE-GGA.

The structure in CIF format:
```
data_Er5Mg4Cu
_cell_length_a 3.603
_cell_length_b 3.603
_cell_length_c 19.515
_cell_angle_alpha 90.00
_cell_angle_beta 90.00
_cell_angle_gamma 90.00
_space_group_name_H-M_alt 'P 4/m m m'
_space_group_IT_number 123
_space_group_name_Hall '-P 4 2'
loop_
_atom_site_label
_atom_site_type_symbol
_atom_site_fract_x
_atom_site_fract_y
_atom_site_fract_z
Er1 Er 0.000 0.000 0.000
Er2 Er 0.000 0.000 0.207
Er3 Er 0.000 0.000 0.417
Mg1 Mg 0.500 0.500 0.104
Mg2 Mg 0.500 0.500 0.310
Cu1 Cu 0.500 0.500 0.500
```

Values from the calculation:
Energy relative to the elements: -0.093 eV per atom
Volume: 25.3 A^3/atom
Spin magnetization: 0.00 μB per formula unit
Raw total energy: -3.42 eV per atom
N(E_F): 1.091 states/eV per atom